# 1
InReAu | PBE | optimized geometry

Values from the calculation:
Excess energy over the best structure of this formula in the dataset in meV/atom: 390.1

Cell: 4.516 4.516 4.516 Å, 60.00 60.00 60.00°
Fractional positions:
In1 0.000 0.000 0.000
Re1 0.750 0.750 0.750
Au1 0.500 0.500 0.500

# 2
InReAu2 | PBE | optimized geometry

Cell: 5.045 5.045 5.045 Å, 130.76 130.76 72.19°
Fractional positions:
In1 0.000 0.000 0.000
Re1 0.250 0.750 0.500
Au1 0.500 0.500 0.000
Au2 0.750 0.250 0.500

# 3
InReAu2 | PBE | optimized geometry

Cell: 5.057 5.057 5.218 Å, 101.27 101.27 33.16°
Fractional positions:
In1 0.000 0.000 0.000
Re1 0.250 0.250 0.776
Au1 0.509 0.509 0.516
Au2 0.754 0.754 0.283

How do the records compare in DOS(E_F)? In the order shown, they have 0.47, 1.12, 0.57 states/eV per atom.
How do the records compare in ΔH_f (0 K)? In the order shown, they have 0.897, 0.564, 0.418 eV per atom.